V3CuF: optimized geometry, PBE with a Hubbard U.

a b c (Å): 4.386 4.386 4.386
angles (deg): 90.00 90.00 90.00
Fractional positions:
V (0.000, 0.000, 0.500)
V (0.000, 0.500, 0.000)
V (0.500, 0.000, 0.000)
Cu (0.500, 0.500, 0.500)
F (0.000, 0.000, 0.000)

## Properties
The value obtained for the density of states at the Fermi level is 4.4 states/eV per cell. The calculation puts the energy above the most stable polymorph in this dataset at 0.000 eV per atom. As for the space group: Pm-3m (221).